Crystalline TiBeIN2 at its relaxed geometry, computed with GGA-PBE.

Calculated values
Calculated density   5.09 g cm⁻³
Polymorph energy (0 for the lowest one)   576 meV/atom
Calculated volume   13.829 Å³ per atom
N(E_F)   5.18 states/eV/f.u.
E_tot   -23.99 eV for the cell shown

Cell: 3.7405 3.7405 4.9420 Å, 90.00 90.00 90.00°
Closest atoms and distances in Å follow each position.
Element x y z (fractional)
Ti: 0.0000 0.0000 0.0000  4 I 2.64
Be: 0.5000 0.5000 0.5000  4 N 1.87
I: 0.5000 0.5000 0.0000  2 Be 2.47, 4 Ti 2.64
N: 0.0000 0.5000 0.5000  2 Be 1.87
N: 0.5000 0.0000 0.5000  2 Be 1.87